Below is a relaxed Cs2LaBI6 crystal, with properties calculated at the PBE level.

Properties
Total moment (μB per cell): 0.0
ΔE_f (raw) (meV per atom): -885
Crystal system: cubic

a b c (Å): 8.606 8.606 8.606
angles (deg): 60.00 60.00 60.00
Element x y z (fractional)
Cs (0.250, 0.250, 0.250)
Cs (0.750, 0.750, 0.750)
La (0.000, 0.000, 0.000)
B (0.500, 0.500, 0.500)
I (0.260, 0.260, 0.740)
I (0.260, 0.740, 0.260)
I (0.260, 0.740, 0.740)
I (0.740, 0.260, 0.260)
I (0.740, 0.260, 0.740)
I (0.740, 0.740, 0.260)